No. 1
TaSbRhI2 | PBE | relaxed

Unit cell a=5.263 b=5.263 c=5.160 alpha=90.00 beta=90.00 gamma=90.00
Last column: magnetic moment on the atom in μB.
Element x y z (fractional)
I 0.000 0.500 0.000  -0.07
I 0.500 0.000 0.000  -0.07
Sb 0.000 0.000 0.500  -0.12
Rh 0.000 0.000 0.000  -0.05
Ta 0.500 0.500 0.500  1.83

Symmetry: P4/mmm, No. 123
Crystal system: tetragonal



No. 2
TaSbRhI2 | PBE | relaxed

Unit cell a=5.393 b=5.393 c=5.459 alpha=90.00 beta=90.00 gamma=90.00
Element x y z (fractional)
I 0.000 0.500 0.000
I 0.500 0.000 0.000
Sb 0.000 0.000 0.500
Rh 0.500 0.500 0.500
Ta 0.000 0.000 0.000

Symmetry: P4/mmm, No. 123
Crystal system: tetragonal



No. 3
SbTe2RhI | PBE | relaxed

Unit cell a=5.259 b=5.259 c=5.284 alpha=90.00 beta=90.00 gamma=90.00
Element x y z (fractional)
I 0.000 0.000 0.500
Sb 0.500 0.500 0.500
Te 0.000 0.500 0.000
Te 0.500 0.000 0.000
Rh 0.000 0.000 0.000

Symmetry: P4/mmm, No. 123
Crystal system: tetragonal



No. 4
Sb2TeRhI | PBE | relaxed

Unit cell a=5.203 b=5.203 c=5.366 alpha=90.00 beta=90.00 gamma=90.00
Element x y z (fractional)
I 0.000 0.000 0.500
Sb 0.000 0.500 0.000
Sb 0.500 0.000 0.000
Te 0.500 0.500 0.500
Rh 0.000 0.000 0.000

Symmetry: P4/mmm, No. 123
Crystal system: tetragonal



No. 5
SbTeRhI2 | PBE | relaxed

Unit cell a=5.363 b=5.363 c=5.227 alpha=90.00 beta=90.00 gamma=90.00
Element x y z (fractional)
I 0.000 0.500 0.000
I 0.500 0.000 0.000
Sb 0.000 0.000 0.500
Te 0.500 0.500 0.500
Rh 0.000 0.000 0.000

Symmetry: P4/mmm, No. 123
Crystal system: tetragonal



No. 6
Sb2TeRhI | PBE | relaxed

Unit cell a=5.190 b=5.190 c=5.426 alpha=90.00 beta=90.00 gamma=90.00
Element x y z (fractional)
I 0.500 0.500 0.500
Sb 0.000 0.500 0.000
Sb 0.500 0.000 0.000
Te 0.000 0.000 0.500
Rh 0.000 0.000 0.000

Symmetry: P4/mmm, No. 123
Crystal system: tetragonal



| no. | electronic total energy (eV for the cell shown) | V (A^3/atom) | formation energy (no corrections) (eV/atom) |
| --- | --- | --- | --- |
| 1 | -20.9 | 28.6 | 1.11 |
| 2 | -20.9 | 31.8 | 1.10 |
| 3 | -17.8 | 29.2 | 0.30 |
| 4 | -18.9 | 29.1 | 0.28 |
| 5 | -16.2 | 30.1 | 0.30 |
| 6 | -18.9 | 29.2 | 0.27 |